Material: ReMoPb
Method: DFT, GGA-PBE
State: relaxed

## Properties
total magnetic moment = 0.00 μB/cell
symmetry = P3m1, No. 156
calculated volume = 18.09 Å³/atom
DFT formation energy = 20.924 kcal/mol of atoms
crystal system = trigonal
VASP energy = -24.27 eV/cell
relative energy among the computed polymorphs = 332.5 meV per atom
N(E_F) = 2.65 states/eV/cell

The structure in POSCAR format:
```
ReMoPb
1.0
4.630 0.000 0.000
-2.315 4.010 0.000
0.000 0.000 2.923
Re Mo Pb
1 1 1
direct
0.000 0.000 0.000
0.667 0.333 0.495
0.333 0.667 0.994
```